The following is a GGA-PBE calculation of a geometry-optimized K2U3O10 structure, from Alexandria.

Output
- magnetic moment (μB/cell) = 0.00
- formation energy (no corrections) (eV/atom) = -2.88
- raw total energy (eV/f.u.) = -128.8

abc: 19.754 6.870 8.526
angles: 90.00 113.05 90.00
Space group C2/m (No. 12)
One atom of each set of equivalent atoms:
K 0.107 0.000 0.198 x4
K 0.206 0.000 0.857 x4
U 0.000 0.247 0.500 x4
U 0.082 0.500 0.975 x4
U 0.186 0.500 0.515 x4
O 0.000 0.311 0.000 x4
O 0.019 0.000 0.660 x4
O 0.023 0.500 0.671 x4
O 0.103 0.260 0.523 x8
O 0.137 0.500 0.270 x4
O 0.144 0.287 0.978 x8
O 0.234 0.500 0.750 x4
O 0.250 0.250 0.500 x4